1.
HfSc4Rh5: optimized geometry, PBE-GGA.

Values from the calculation:
* space group: P4/mmm
* ΔE_f: -96.3 kJ/mol of atoms
* VASP energy: -8.20 eV per atom

Cell lengths 3.214, 3.214, 16.475 Å; angles 90.00, 90.00, 90.00 degrees
Fractional coordinates of all 10 atoms:
Sc 0.000 0.000 0.798
Sc 0.000 0.000 0.202
Sc 0.000 0.000 0.401
Sc 0.000 0.000 0.599
Rh 0.500 0.500 0.500
Rh 0.500 0.500 0.700
Rh 0.500 0.500 0.098
Rh 0.500 0.500 0.300
Rh 0.500 0.500 0.902
Hf 0.000 0.000 0.000


2.
Ca2MgSi: optimized geometry, PBE-GGA.

Values from the calculation:
* raw formation energy: 307.3 meV per atom
* space group: I-42d
* VASP energy: -2.45 eV per atom

Cell lengths 4.763, 4.763, 11.054 Å; angles 77.56, 77.56, 90.00 degrees
Fractional coordinates of all 8 atoms:
Ca 0.375 0.351 0.750
Ca 0.875 0.899 0.750
Ca 0.649 0.125 0.250
Ca 0.101 0.625 0.250
Mg 0.250 0.750 0.500
Mg 0.500 0.500 0.000
Si 0.750 0.250 0.500
Si 0.000 0.000 0.000